Density functional theory data (GGA-PBE) for V3GaAs after structural relaxation.

The calculation puts the density of states at the Fermi level at 4.92 states/eV per cell. Its polymorph energy (0 for the lowest one) is 3.79 eV/f.u. The total energy comes out at -6.404 eV/atom. The formation energy is 603 meV/atom. Its total magnetization is 0.85 μB/atom.

The space group is Pm-3m (No. 221) and the conventional cell measures 4.524, 4.524 and 4.524 Å, with angles of 90.00, 90.00 and 90.00 degrees. The distinct sites, in fractional coordinates, are V at (0.000, 0.000, 0.500), Ga at (0.500, 0.500, 0.500) and As at (0.000, 0.000, 0.000).